La2Cd15Ag2: relaxed, GGA-PBE.

**Spin magnetization**: 0.0 Bohr magnetons per cell
**Volume**: 23.12 A^3/atom
**E_form**: -320 kJ/mol of formula units
**Electronic total energy**: -32.6 eV per formula unit

a b c (Å): 10.0919 10.0919 14.9408
angles (deg): 90.00 90.00 120.00
Space group R-3m (No. 166, hexagonal axes)
One atom of each set of equivalent atoms:
La 0.0000 0.0000 0.1658 [6 per cell]
Cd 0.0000 0.2937 0.5000 [18 per cell]
Cd 0.0000 0.5000 0.0000 [9 per cell]
Cd 0.0097 0.5048 0.6478 [18 per cell]
Ag 0.0000 0.0000 0.3965 [6 per cell]